Entry 1:
Sr3PuNi2O9 after structural relaxation, computed with PBE with a Hubbard U.

POSCAR file:
```
Sr3PuNi2O9
1.0
-5.401 -0.213 -1.645
1.355 -1.030 5.388
-0.735 6.949 1.513
O Sr Pu Ni
9 3 1 2
Direct
0.500 0.500 0.000
0.670 0.835 0.333
0.835 0.670 0.667
0.500 0.000 0.000
0.835 0.165 0.667
0.165 0.330 0.333
0.000 0.500 0.000
0.330 0.165 0.667
0.165 0.835 0.333
0.000 0.000 0.000
0.667 0.333 0.280
0.333 0.667 0.720
0.000 0.000 0.500
0.667 0.333 0.840
0.333 0.667 0.160
```

Calculated values
Calculated total energy, eV per formula unit: -101.81



Entry 2:
Sr3Pu2NiO9 after structural relaxation, computed with PBE with a Hubbard U.

POSCAR file:
```
Sr3Pu2NiO9
1.0
5.883 0.000 0.000
-2.941 5.095 0.000
0.000 0.000 7.352
Ni O Pu Sr
1 9 2 3
Direct
0.000 0.000 0.500
0.500 0.500 0.000
0.834 0.668 0.662
0.500 0.000 0.000
0.000 0.500 0.000
0.166 0.332 0.338
0.332 0.166 0.662
0.834 0.166 0.662
0.166 0.834 0.338
0.668 0.834 0.338
0.667 0.333 0.824
0.333 0.667 0.176
0.667 0.333 0.362
0.333 0.667 0.638
0.000 0.000 0.000
```

Calculated values
Calculated total energy, eV per formula unit: -120.09



Entry 3:
SrPuNi2O5 after structural relaxation, computed with PBE with a Hubbard U.

POSCAR file:
```
SrPuNi2O5
1.0
4.485 0.000 0.000
0.000 5.815 0.000
-2.242 -2.908 4.797
Ni Sr O Pu
2 1 5 1
Direct
0.220 0.220 0.439
0.780 0.780 0.561
0.000 0.500 0.000
0.359 0.117 0.719
0.641 0.883 0.281
0.641 0.398 0.281
0.359 0.602 0.719
0.000 0.000 0.000
0.500 0.000 0.000
```

Calculated values
Calculated total energy, eV per formula unit: -61.28



Entry 4:
TbPuNiO6 after structural relaxation, computed with PBE with a Hubbard U.

POSCAR file:
```
TbPuNiO6
1.0
-3.581 -1.504 3.575
4.652 -2.479 -0.280
3.858 6.494 6.596
O Ni Tb Pu
12 2 2 2
Direct
0.345 0.356 0.862
0.990 0.345 0.138
0.010 0.655 0.862
0.644 0.655 0.638
0.345 0.990 0.638
0.990 0.644 0.362
0.010 0.356 0.638
0.356 0.010 0.138
0.655 0.644 0.138
0.356 0.345 0.362
0.644 0.990 0.862
0.655 0.010 0.362
0.667 0.333 0.750
0.333 0.667 0.250
0.000 0.000 0.000
0.000 0.000 0.500
0.333 0.667 0.750
0.667 0.333 0.250
```

Calculated values
Calculated total energy, eV per formula unit: -72.77



Entry 5:
Tb2PuNiO8 after structural relaxation, computed with PBE with a Hubbard U.

POSCAR file:
```
Tb2PuNiO8
1.0
-3.436 1.783 1.467
1.637 -2.387 4.346
3.315 6.563 1.019
O Tb Pu Ni
8 2 1 1
Direct
0.085 0.722 0.816
0.422 0.230 0.986
0.347 0.250 0.461
0.046 0.806 0.263
0.915 0.278 0.184
0.653 0.750 0.539
0.578 0.770 0.014
0.954 0.194 0.737
0.478 0.551 0.270
0.522 0.449 0.730
0.000 0.000 0.000
0.000 0.000 0.500
```

Calculated values
Calculated total energy, eV per formula unit: -94.76



Entry 6:
PuTcNiO6 after structural relaxation, computed with PBE with a Hubbard U.

POSCAR file:
```
PuTcNiO6
1.0
5.201 0.000 0.000
-2.600 4.504 0.000
0.000 0.000 8.990
O Pu Ni Tc
12 2 2 2
Direct
0.321 0.008 0.624
0.679 0.992 0.376
0.992 0.313 0.624
0.321 0.313 0.876
0.008 0.321 0.124
0.992 0.679 0.876
0.679 0.687 0.124
0.687 0.008 0.876
0.313 0.992 0.124
0.313 0.321 0.376
0.008 0.687 0.376
0.687 0.679 0.624
0.333 0.667 0.750
0.667 0.333 0.250
0.667 0.333 0.750
0.333 0.667 0.250
0.000 0.000 0.500
0.000 0.000 0.000
```

Calculated values
Calculated total energy, eV per formula unit: -72.81



Entry 7:
PuTl2Ni2O6 after structural relaxation, computed with PBE with a Hubbard U.

POSCAR file:
```
PuTl2Ni2O6
1.0
5.444 -0.006 -0.007
-2.696 4.730 -0.007
-1.057 -1.817 6.583
Ni Tl O Pu
2 2 6 1
Direct
0.334 0.666 0.500
0.666 0.334 0.500
0.171 0.829 0.000
0.829 0.171 0.000
0.735 0.735 0.663
0.059 0.390 0.665
0.941 0.610 0.335
0.610 0.941 0.335
0.265 0.265 0.337
0.390 0.059 0.665
0.000 0.000 0.500
```

Calculated values
Calculated total energy, eV per formula unit: -69.83



Entry 8:
PuTl2NiO8 after structural relaxation, computed with PBE with a Hubbard U.

POSCAR file:
```
PuTl2NiO8
1.0
-2.707 -2.509 -3.886
2.125 -4.038 2.271
-4.662 -0.694 4.436
Ni O Tl Pu
1 8 2 1
Direct
0.000 0.000 0.500
0.673 0.730 0.003
0.327 0.270 0.997
0.884 0.195 0.256
0.318 0.247 0.519
0.116 0.805 0.744
0.857 0.195 0.779
0.143 0.805 0.221
0.682 0.753 0.481
0.568 0.422 0.275
0.432 0.578 0.725
0.000 0.000 0.000
```

Calculated values
Calculated total energy, eV per formula unit: -75.30



Entry 9:
PuTlNi2O6 after structural relaxation, computed with PBE with a Hubbard U.

POSCAR file:
```
PuTlNi2O6
1.0
-3.569 1.000 -1.853
-3.024 -1.045 5.261
0.803 5.884 1.630
O Pu Ni Tl
6 1 2 1
Direct
0.248 0.000 0.000
0.756 0.765 0.235
0.756 0.235 0.235
0.756 0.765 0.765
0.756 0.235 0.765
0.167 0.500 0.500
0.746 0.000 0.000
0.803 0.500 0.000
0.803 0.000 0.500
0.657 0.500 0.500
```

Calculated values
Calculated total energy, eV per formula unit: -62.20



Entry 10:
PuTl2NiO6 after structural relaxation, computed with PBE with a Hubbard U.

POSCAR file:
```
PuTl2NiO6
1.0
-5.746 -0.986 -0.021
-2.262 -4.122 3.444
-3.234 1.506 4.610
Tl O Pu Ni
2 6 1 1
Direct
0.566 0.566 0.302
0.066 0.066 0.802
0.562 0.071 0.297
0.561 0.562 0.806
0.070 0.561 0.298
0.070 0.562 0.806
0.562 0.071 0.805
0.071 0.070 0.297
0.316 0.316 0.052
0.816 0.816 0.551
```

Calculated values
Calculated total energy, eV per formula unit: -65.45



Entry 11:
Pu3Tl2NiO12 after structural relaxation, computed with PBE with a Hubbard U.

POSCAR file:
```
Pu3Tl2NiO12
1.0
7.376 -0.244 -0.173
3.430 6.534 -0.173
3.430 1.997 6.224
O Ni Pu Tl
12 1 3 2
Direct
0.932 0.324 0.324
0.676 0.068 0.676
0.324 0.932 0.324
0.939 0.315 0.939
0.315 0.939 0.939
0.939 0.939 0.315
0.061 0.061 0.685
0.061 0.685 0.061
0.324 0.324 0.932
0.068 0.676 0.676
0.676 0.676 0.068
0.685 0.061 0.061
0.000 0.000 0.000
0.000 0.000 0.500
0.000 0.500 0.000
0.500 0.000 0.000
0.383 0.383 0.383
0.617 0.617 0.617
```

Calculated values
Calculated total energy, eV per formula unit: -145.07



Entry 12:
TmPuNiO6 after structural relaxation, computed with PBE with a Hubbard U.

POSCAR file:
```
TmPuNiO6
1.0
5.254 0.000 0.000
-2.627 4.550 0.000
0.000 0.000 9.808
O Tm Pu Ni
12 2 2 2
Direct
0.342 0.990 0.636
0.990 0.648 0.364
0.990 0.342 0.136
0.352 0.342 0.364
0.648 0.658 0.636
0.648 0.990 0.864
0.342 0.352 0.864
0.658 0.648 0.136
0.010 0.352 0.636
0.352 0.010 0.136
0.658 0.010 0.364
0.010 0.658 0.864
0.000 0.000 0.000
0.000 0.000 0.500
0.333 0.667 0.750
0.667 0.333 0.250
0.667 0.333 0.750
0.333 0.667 0.250
```

Calculated values
Calculated total energy, eV per formula unit: -72.74



Entry 13:
PuVNi2O6 after structural relaxation, computed with PBE with a Hubbard U.

POSCAR file:
```
PuVNi2O6
1.0
-0.265 0.439 -4.066
-5.755 0.475 0.426
0.517 5.738 0.585
O Ni V Pu
6 2 1 1
Direct
0.752 0.760 0.760
0.752 0.760 0.240
0.243 0.000 0.000
0.236 0.500 0.500
0.752 0.240 0.240
0.752 0.240 0.760
0.791 0.000 0.500
0.791 0.500 0.000
0.648 0.000 0.000
0.732 0.500 0.500
```

Calculated values
Calculated total energy, eV per formula unit: -72.44



Entry 14:
Pu2ZnNiO8 after structural relaxation, computed with PBE with a Hubbard U.

POSCAR file:
```
Pu2ZnNiO8
1.0
-6.547 0.185 0.535
-1.033 -3.335 5.567
4.065 5.084 -0.898
O Pu Ni Zn
8 2 1 1
Direct
0.378 0.110 0.269
0.357 0.601 0.244
0.841 0.110 0.731
0.399 0.643 0.756
0.890 0.622 0.731
0.890 0.159 0.269
0.888 0.643 0.244
0.357 0.112 0.756
0.750 0.250 0.500
0.500 0.500 0.000
0.250 0.750 0.500
0.000 0.000 0.000
```

Calculated values
Calculated total energy, eV per formula unit: -90.68



Entry 15:
PuZn2NiO6 after structural relaxation, computed with PBE with a Hubbard U.

POSCAR file:
```
PuZn2NiO6
1.0
5.391 -0.276 -0.287
1.297 6.761 0.294
1.297 0.043 6.767
O Zn Pu Ni
12 4 2 2
Direct
0.898 0.356 0.856
0.363 0.541 0.719
0.618 0.806 0.976
0.637 0.459 0.281
0.382 0.194 0.024
0.137 0.281 0.459
0.118 0.976 0.806
0.863 0.719 0.541
0.398 0.856 0.356
0.602 0.144 0.644
0.102 0.644 0.144
0.882 0.024 0.194
0.814 0.217 0.397
0.314 0.397 0.217
0.686 0.603 0.783
0.186 0.783 0.603
0.750 0.740 0.260
0.250 0.260 0.740
0.750 0.084 0.916
0.250 0.916 0.084
```

Calculated values
Calculated total energy, eV per formula unit: -66.85



Entry 16:
PuZnNiO6 after structural relaxation, computed with PBE with a Hubbard U.

POSCAR file:
```
PuZnNiO6
1.0
-3.681 3.589 -0.753
0.963 -3.546 -3.674
-6.160 -5.536 3.728
O Zn Ni Pu
12 2 2 2
Direct
0.654 0.664 0.631
0.990 0.336 0.131
0.346 0.010 0.131
0.664 0.654 0.131
0.346 0.336 0.369
0.010 0.346 0.631
0.654 0.990 0.869
0.664 0.010 0.369
0.336 0.990 0.631
0.990 0.654 0.369
0.336 0.346 0.869
0.010 0.664 0.869
0.000 0.000 0.000
0.000 0.000 0.500
0.333 0.667 0.250
0.667 0.333 0.750
0.333 0.667 0.750
0.667 0.333 0.250
```

Calculated values
Calculated total energy, eV per formula unit: -61.88



Entry 17:
PuZn2NiO8 after structural relaxation, computed with PBE with a Hubbard U.

POSCAR file:
```
PuZn2NiO8
1.0
-3.551 1.031 4.420
3.948 -3.501 2.316
2.288 4.808 -2.204
O Pu Zn Ni
8 1 2 1
Direct
0.737 0.038 0.699
0.339 0.038 0.301
0.300 0.502 0.202
0.902 0.700 0.202
0.962 0.661 0.699
0.962 0.263 0.301
0.300 0.098 0.798
0.498 0.700 0.798
0.250 0.750 0.500
0.750 0.250 0.500
0.500 0.500 0.000
0.000 0.000 0.000
```

Calculated values
Calculated total energy, eV per formula unit: -71.84



Entry 18:
PuZnNi2O6 after structural relaxation, computed with PBE with a Hubbard U.

POSCAR file:
```
PuZnNi2O6
1.0
-3.450 1.440 1.605
-2.687 -5.161 -1.144
1.631 -2.030 5.327
Ni O Pu Zn
2 6 1 1
Direct
0.792 0.000 0.500
0.792 0.500 0.000
0.213 0.500 0.500
0.746 0.245 0.245
0.746 0.755 0.245
0.746 0.755 0.755
0.746 0.245 0.755
0.234 0.000 0.000
0.733 0.000 0.000
0.701 0.500 0.500
```

Calculated values
Calculated total energy, eV per formula unit: -62.48



Entry 19:
Rb3NiO3 after structural relaxation, computed with PBE with a Hubbard U.

POSCAR file:
```
Rb3NiO3
1.0
-5.382 1.853 -0.529
-0.879 -0.239 8.108
2.697 6.801 -3.612
Rb O Ni
6 6 2
Direct
0.250 0.275 0.369
0.750 0.725 0.631
0.250 0.631 0.905
0.750 0.369 0.095
0.250 0.095 0.725
0.750 0.905 0.275
0.750 0.567 0.870
0.750 0.130 0.697
0.750 0.303 0.433
0.250 0.697 0.567
0.250 0.433 0.130
0.250 0.870 0.303
0.250 0.667 0.333
0.750 0.333 0.667
```

Calculated values
Energy above the most stable polymorph in this dataset, eV/atom: 0.055